VASP calculation (PBE-GGA) on a relaxed structure of LaTi2Fe2.

The calculation puts the density at 6.9 g/cm3. The total magnetization comes out at 0.7 μB/f.u. As for the energy above the most stable polymorph in this dataset: 174.2 meV per atom. For the calculated formation energy, the calculation gives 0.12 eV/atom.

a b c (Å): 7.592 7.592 2.890
angles (deg): 90.00 90.00 90.00
Atoms (fractional coordinates):
La 0.000 0.000 0.000
La 0.500 0.500 0.000
Ti 0.134 0.366 0.000
Ti 0.366 0.866 0.000
Ti 0.634 0.134 0.000
Ti 0.866 0.634 0.000
Fe 0.137 0.637 0.500
Fe 0.363 0.137 0.500
Fe 0.637 0.863 0.500
Fe 0.863 0.363 0.500